# 1
# BTeF2

BTeF2 at its PBEsol-relaxed geometry (meta-GGA SCAN, Alexandria via LeMat-Bulk).

As for the relative energy among the computed polymorphs: 0.5649 eV/atom. The symmetry is Fm-3m, No. 225. Its uncorrected formation energy is 390 meV/atom.

Cell: 4.1964 4.1964 4.1964 Å, 60.00 60.00 60.00°
With the nearest neighbours (Å) after each atom.
Fractional coordinates of all 4 atoms:
B 0.0000 0.0000 0.0000  8 F 2.57
Te 0.5000 0.5000 0.5000  8 F 2.57
F 0.2500 0.2500 0.2500  4 Te 2.57, 4 B 2.57
F 0.7500 0.7500 0.7500  4 Te 2.57, 4 B 2.57

---

# 2
# CoReBr2

CoReBr2 at its PBEsol-relaxed geometry (meta-GGA SCAN, Alexandria via LeMat-Bulk).

As for the relative energy among the computed polymorphs: 1.0013 eV/atom. The symmetry is I-4m2, No. 119. Its uncorrected formation energy is 1454 meV/atom.

Cell: 3.6505 3.6505 5.7285 Å, 108.58 108.58 90.00°
With the nearest neighbours (Å) after each atom.
Fractional coordinates of all 4 atoms:
Re 0.2500 0.7500 0.5000  4 Br 2.58
Co 0.5000 0.5000 0.0000  4 Br 2.58
Br 0.0000 0.0000 0.0000  4 Co 2.58
Br 0.7500 0.2500 0.5000  4 Re 2.58

---

# 3
# MnFeHgRu2

MnFeHgRu2 at its PBEsol-relaxed geometry (meta-GGA SCAN, Alexandria via LeMat-Bulk).

The calculation puts the energy relative to the elements at 1.96 eV/atom. The symmetry is P4/mmm, No. 123.

Cell: 4.6037 4.8801 4.8801 Å, 90.00 90.00 90.00°
With the nearest neighbours (Å) after each atom.
Fractional coordinates of all 5 atoms:
Ru 0.0000 0.0000 0.5000  2 Hg 2.44
Ru 0.0000 0.5000 0.0000  2 Hg 2.44
Mn 0.5000 0.5000 0.5000  8 Ru 3.35, 4 Fe 3.45
Hg 0.0000 0.0000 0.0000  2 Fe 2.30, 4 Ru 2.44
Fe 0.5000 0.0000 0.0000  2 Hg 2.30

---

# 4
# KIr2Rh

KIr2Rh at its PBEsol-relaxed geometry (meta-GGA SCAN, Alexandria via LeMat-Bulk).

As for the relative energy among the computed polymorphs: 0.1717 eV/atom. The calculation puts the energy relative to the elements at 0.78 eV/atom. The symmetry is P2/m, No. 10.

Cell: 2.6693 4.5052 6.3300 Å, 90.00 100.37 90.00°
With the nearest neighbours (Å) after each atom.
Fractional coordinates of all 4 atoms:
Ir 0.8114 0.0000 0.6739  4 Ir 2.51-2.67, 2 Rh 2.60
Ir 0.1886 0.0000 0.3261  4 Ir 2.51-2.67, 2 Rh 2.60
K 0.5000 0.5000 0.0000  2 K 2.67
Rh 0.0000 0.5000 0.5000  4 Ir 2.60, 2 Rh 2.67

---

# 5
# Sr2Tl

Sr2Tl at its PBEsol-relaxed geometry (meta-GGA SCAN, Alexandria via LeMat-Bulk).

The calculation puts the energy relative to the elements at -0.39 eV/atom. The symmetry is Cmcm, No. 63.

Cell: 4.0675 5.9097 9.7311 Å, 90.00 102.06 90.00°
With the nearest neighbours (Å) after each atom.
Fractional coordinates of all 6 atoms:
Sr 0.7115 0.7500 0.4230  2 Tl 3.35
Sr 0.4249 0.7500 0.8498  6 Tl 3.45-3.59
Sr 0.2885 0.2500 0.5770  2 Tl 3.35
Sr 0.5751 0.2500 0.1502  6 Tl 3.45-3.59
Tl 0.0716 0.7500 0.1432  8 Sr 3.35-3.59
Tl 0.9284 0.2500 0.8568  8 Sr 3.35-3.59

---

# 6
# Ca2InCl

Ca2InCl at its PBEsol-relaxed geometry (meta-GGA SCAN, Alexandria via LeMat-Bulk).

As for the relative energy among the computed polymorphs: 0.0000 eV/atom. The symmetry is P2/m, No. 10. Its uncorrected formation energy is -1249 meV/atom.

Cell: 3.5964 3.8482 8.2045 Å, 90.11 90.00 90.00°
With the nearest neighbours (Å) after each atom.
Fractional coordinates of all 4 atoms:
Ca 0.0000 0.9990 0.7661  2 Cl 2.83
Ca 0.0000 0.0010 0.2339  2 Cl 2.83
In 0.5000 0.5000 0.0000  8 Ca 3.26, 2 In 3.60
Cl 0.5000 0.0000 0.5000  4 Ca 2.83

---

Number 1: calculated total energy -12.550 eV per atom. Number 2: calculated total energy -30.376 eV per atom. Number 3: calculated total energy -32.876 eV per atom. Number 4: calculated total energy -45.297 eV per atom. Number 5: calculated total energy -39.363 eV per atom. Number 6: calculated total energy -16.422 eV per atom.